Here is a geometry-optimized MoPb4Br structure from Alexandria. Energies are from PBE-GGA.

Cell: 6.413 6.413 6.413 Å, 60.00 60.00 60.00°
Last column: magnetic moment on the atom in μB.
Fractional positions:
Mo 0.000 0.000 0.000  3.50
Pb 0.374 0.374 0.374  -0.05
Pb 0.374 0.878 0.374  -0.05
Pb 0.374 0.374 0.878  -0.05
Pb 0.878 0.374 0.374  -0.05
Br 0.750 0.750 0.750  0.02

Properties
volume	31.08	Å³ per atom
raw total energy	-23.2	eV for the cell shown
formation energy (no corrections)	0.697	eV per atom

Here is a geometry-optimized Ca2NdEu structure from Alexandria. Energies are from PBE-GGA.

Cell: 6.073 6.073 6.073 Å, 60.00 60.00 60.00°
Last column: magnetic moment on the atom in μB.
Fractional positions:
Eu 0.000 0.000 0.000  -6.91
Ca 0.250 0.250 0.250  -0.01
Ca 0.750 0.750 0.750  -0.01
Nd 0.500 0.500 0.500  -0.02

Properties
volume	39.59	Å³ per atom
raw total energy	-18.7	eV for the cell shown
ΔH_f (0 K)	0.0933	eV per atom

Here is a geometry-optimized TlCd2AsIr structure from Alexandria. Energies are from PBE-GGA.

Cell: 5.334 5.334 4.617 Å, 90.00 90.00 90.00°
Fractional positions:
Cd 0.500 0.000 0.000
Cd 0.000 0.500 0.000
As 0.000 0.000 0.500
Ir 0.000 0.000 0.000
Tl 0.500 0.500 0.500

Properties
volume	26.26	Å³ per atom
raw total energy	-17.3	eV for the cell shown
ΔH_f (0 K)	0.0803	eV per atom

Here is a geometry-optimized Tb3Pr4Ho structure from Alexandria. Energies are from PBE-GGA.

Cell: 3.516 6.888 12.000 Å, 106.48 98.42 90.00°
Fractional positions:
Pr 0.123 0.367 0.246
Pr 0.741 0.234 0.482
Pr 0.259 0.766 0.518
Pr 0.877 0.633 0.754
Tb 0.122 0.881 0.244
Tb 0.000 0.500 0.000
Tb 0.878 0.119 0.756
Ho 0.500 0.000 0.000

Properties
volume	34.43	Å³ per atom
raw total energy	-36.3	eV for the cell shown
ΔH_f (0 K)	0.1617	eV per atom

Here is a geometry-optimized CoSbTe2 structure from Alexandria. Energies are from PBE-GGA.

Cell: 8.883 8.883 8.883 Å, 23.79 23.79 23.79°
Fractional positions:
Te 0.015 0.015 0.015
Te 0.216 0.216 0.216
Sb 0.772 0.772 0.772
Co 0.497 0.497 0.497

Properties
volume	25.05	Å³ per atom
raw total energy	-17.4	eV for the cell shown
formation energy (no corrections)	0.021	eV per atom

Here is a geometry-optimized TbPmHo2 structure from Alexandria. Energies are from PBE-GGA.

Cell: 3.565 3.565 10.074 Å, 90.00 90.00 90.00°
Fractional positions:
Ho 0.000 0.000 0.253
Ho 0.000 0.000 0.747
Pm 0.500 0.500 0.000
Tb 0.500 0.500 0.500

Properties
volume	32.01	Å³ per atom
raw total energy	-18.5	eV for the cell shown
ΔH_f (0 K)	0.0196	eV per atom

Here is a geometry-optimized Li2CaMgNi structure from Alexandria. Energies are from PBE-GGA.

Cell: 4.781 4.781 4.872 Å, 90.00 90.00 90.00°
Fractional positions:
Ca 0.500 0.500 0.500
Ni 0.000 0.000 0.000
Mg 0.000 0.000 0.500
Li 0.000 0.500 0.000
Li 0.500 0.000 0.000

Properties
volume	22.27	Å³ per atom
raw total energy	-12.8	eV for the cell shown
ΔH_f (0 K)	0.0874	eV per atom

Here is a geometry-optimized Sr2ZrB structure from Alexandria. Energies are from PBE-GGA.

Cell: 10.964 10.964 8.087 Å, 47.32 47.32 90.00°
Fractional positions:
Zr 0.000 0.000 0.000
Zr 0.750 0.250 0.500
B 0.500 0.500 0.000
B 0.250 0.750 0.500
Sr 0.286 0.625 0.250
Sr 0.375 0.536 0.750
Sr 0.875 0.714 0.750
Sr 0.464 0.125 0.250

Properties
volume	34.57	Å³ per atom
raw total energy	-32.5	eV for the cell shown
ΔH_f (0 K)	0.5885	eV per atom

Here is a geometry-optimized CsTl6InHg structure from Alexandria. Energies are from PBE-GGA.

Cell: 6.312 12.663 11.506 Å, 123.39 105.92 90.00°
Fractional positions:
Tl 0.093 0.868 0.686
Tl 0.408 0.132 0.314
Tl 0.558 0.808 0.117
Tl 0.592 0.318 0.686
Tl 0.907 0.132 0.314
Tl 0.907 0.682 0.314
Tl 0.093 0.318 0.686
Tl 0.592 0.868 0.686
Tl 0.903 0.153 0.806
Tl 0.408 0.682 0.314
Tl 0.442 0.192 0.883
Tl 0.097 0.847 0.194
Cs 0.108 0.358 0.217
Cs 0.892 0.642 0.783
Hg 0.500 0.000 0.000
Hg 0.500 0.500 0.000
In 0.500 0.000 0.500
In 0.000 0.000 0.500

Properties
volume	40.29	Å³ per atom
raw total energy	-35.8	eV for the cell shown
ΔH_f (0 K)	0.0233	eV per atom

Here is a geometry-optimized KBeAu3 structure from Alexandria. Energies are from PBE-GGA.

Cell: 5.688 5.688 5.688 Å, 90.00 90.00 90.00°
Fractional positions:
Be 0.500 0.500 0.500
Au 0.500 0.000 0.000
Au 0.000 0.500 0.000
Au 0.000 0.000 0.500
K 0.000 0.000 0.000

Properties
volume	36.80	Å³ per atom
raw total energy	-6.5	eV for the cell shown
ΔH_f (0 K)	1.6330	eV per atom

Here is a geometry-optimized Ti5GaRu4 structure from Alexandria. Energies are from PBE-GGA.

Cell: 3.097 3.097 15.502 Å, 90.00 90.00 90.00°
Fractional positions:
Ru 0.000 0.000 0.798
Ru 0.000 0.000 0.599
Ru 0.000 0.000 0.401
Ru 0.000 0.000 0.202
Ti 0.500 0.500 0.107
Ti 0.500 0.500 0.303
Ti 0.500 0.500 0.893
Ti 0.500 0.500 0.500
Ti 0.500 0.500 0.697
Ga 0.000 0.000 0.000

Properties
volume	14.87	Å³ per atom
raw total energy	-86.4	eV for the cell shown
ΔH_f (0 K)	-0.6748	eV per atom

Here is a geometry-optimized ScTl2Cl structure from Alexandria. Energies are from PBE-GGA.

Cell: 10.160 10.160 7.601 Å, 48.06 48.06 90.00°
Fractional positions:
Sc 0.750 0.250 0.500
Sc 0.000 0.000 0.000
Cl 0.500 0.500 0.000
Cl 0.250 0.750 0.500
Tl 0.375 0.280 0.750
Tl 0.720 0.125 0.250
Tl 0.030 0.625 0.250
Tl 0.875 0.970 0.750

Properties
volume	32.01	Å³ per atom
raw total energy	-28.2	eV for the cell shown
formation energy (no corrections)	-0.297	eV per atom

Q: Which of these has the lowest volume?
A: Ti5GaRu4

Q: Which of these has the highest raw total energy?
A: KBeAu3